A geometry-optimized Rb2ZrWI6 structure, computed with PBE.

```
data_Rb2ZrWI6
_space_group_name_H-M_alt 'F m -3 m'
_space_group_IT_number 225
_space_group_name_Hall '-F 4 2 3'
_cell_length_a 11.461
_cell_length_b 11.461
_cell_length_c 11.461
_cell_angle_alpha 90.00
_cell_angle_beta 90.00
_cell_angle_gamma 90.00
loop_
_atom_site_label
_atom_site_type_symbol
_atom_site_fract_x
_atom_site_fract_y
_atom_site_fract_z
Rb1 Rb 0.250 0.250 0.250
Zr1 Zr 0.000 0.000 0.000
W1 W 0.000 0.000 0.500
I1 I 0.000 0.000 0.256
```

Summary:
E_form (uncorrected)   -0.390 eV/atom
Volume   1505.4 Å³/cell